[1]
Entry from Alexandria via LeMat-Bulk: a relaxed structure of Ti2GaFe (GGA-PBE).

Cell and atoms, written as POSCAR:
```
Ti2GaFe
1.0
3.0634 0.0000 0.0000
0.0000 3.0634 0.0000
0.0000 0.0000 6.1986
Fe Ga Ti
1 1 2
direct
0.5000 0.5000 0.0000
0.5000 0.5000 0.5000
0.0000 0.0000 0.7719
0.0000 0.0000 0.2281
```

## Properties
Density of states at the Fermi level ... 3.2 states/eV per cell
ΔE_f ... -0.3805 eV per atom
Space group ... P4/mmm
Calculated density ... 6.3 g/cm3

=====

[2]
Entry from Alexandria via LeMat-Bulk: a relaxed structure of Ti12Ga6Fe (GGA-PBE).

Cell and atoms, written as POSCAR:
```
Ti12Ga6Fe
1.0
6.6805 0.4971 0.5956
-0.5214 6.6786 0.5956
-0.5214 -0.6074 6.6775
Ti Ga Fe
12 6 1
direct
0.8064 0.5200 0.4408
0.4408 0.8064 0.5200
0.5200 0.4408 0.8064
0.1936 0.4800 0.5592
0.5592 0.1936 0.4800
0.4800 0.5592 0.1936
0.0519 0.1420 0.3723
0.8580 0.6277 0.9481
0.6277 0.9481 0.8580
0.9481 0.8580 0.6277
0.1420 0.3723 0.0519
0.3723 0.0519 0.1420
0.7337 0.8807 0.2548
0.7452 0.2663 0.1193
0.1193 0.7452 0.2663
0.2663 0.1193 0.7452
0.2548 0.7337 0.8807
0.8807 0.2548 0.7337
0.0000 0.0000 0.0000
```

## Properties
Density of states at the Fermi level ... 22.2 states/eV per cell
ΔE_f ... -0.2565 eV per atom
Space group ... R-3
Calculated density ... 5.7 g/cm3

=====

[3]
Entry from Alexandria via LeMat-Bulk: a relaxed structure of Ti5Ga4Fe (GGA-PBE).

Cell and atoms, written as POSCAR:
```
Ti5Ga4Fe
1.0
4.4944 0.0000 0.0000
2.2472 6.1414 0.0000
2.2472 0.0000 6.1414
Ti Ga Fe
5 4 1
direct
0.8184 0.3651 0.0000
0.1836 0.0000 0.6349
0.8184 0.0000 0.3651
0.1835 0.6349 0.0000
0.5008 0.0000 0.0000
0.5012 0.3210 0.6790
0.8222 0.6790 0.6790
0.1802 0.3210 0.3210
0.5012 0.6790 0.3210
0.0008 0.0000 0.0000
```

## Properties
Density of states at the Fermi level ... 9.6 states/eV per cell
ΔE_f ... -0.1137 eV per atom
Space group ... I4/mmm
Calculated density ... 5.6 g/cm3

=====

> ΔE_f of number 1 (Ti2GaFe)?

-0.3805 eV per atom

=====

> Which of these has the highest density of states at the Fermi level?

Ti12Ga6Fe

=====

> Which value of density of states at the Fermi level does entry 2 give?

22.2 states/eV per cell